# 1
DFT (GGA-PBE) results for a geometry-optimized Ho2MnIr structure.

Cell: 3.5148 4.8316 4.8316 Å, 90.00 90.00 90.00°
Closest atoms and distances in Å follow each position.
Positions (direct):
Ho 0.0000 0.0000 0.5000  4 Ir 2.99, 4 Mn 2.99
Ho 0.0000 0.5000 0.0000  4 Mn 2.99, 4 Ir 2.99
Mn 0.5000 0.0000 0.0000  8 Ho 2.99
Ir 0.5000 0.5000 0.5000  8 Ho 2.99

Values from the calculation:
energy relative to the elements	-0.35	eV per atom
V	82	Å³ per cell
total magnetic moment	3.306	μB per formula unit

***

# 2
DFT (GGA-PBE) results for a geometry-optimized PrSc2Ni structure.

Cell: 3.6695 3.6695 8.7750 Å, 77.93 77.93 60.00°
Closest atoms and distances in Å follow each position.
Positions (direct):
Sc 0.0549 0.0549 0.8353  3 Ni 2.56
Sc 0.2774 0.2774 0.1679  3 Ni 2.54
Ni 0.6655 0.6655 0.0036  6 Sc 2.54-2.56
Pr 0.5023 0.5023 0.4932  6 Sc 3.49-3.60, 6 Pr 3.67

Values from the calculation:
energy relative to the elements	-0.10	eV per atom
V	99	Å³ per cell
distance to the lowest polymorph of the same formula	107.1	meV/atom
total magnetic moment	0.000	μB per formula unit

***

# 3
DFT (GGA-PBE) results for a geometry-optimized AcLaInAg structure.

Cell: 5.6281 5.6281 5.6281 Å, 60.00 60.00 60.00°
Closest atoms and distances in Å follow each position.
Positions (direct):
Ag 0.2500 0.2500 0.2500  4 La 3.45, 4 Ac 3.45
Ac 0.0000 0.0000 0.0000  4 Ag 3.45, 4 In 3.45
La 0.5000 0.5000 0.5000  4 In 3.45, 4 Ag 3.45
In 0.7500 0.7500 0.7500  4 Ac 3.45, 4 La 3.45

Values from the calculation:
energy relative to the elements	-0.35	eV per atom
V	126	Å³ per cell
distance to the lowest polymorph of the same formula	9.1	meV/atom
total magnetic moment	0.004	μB per formula unit

***

# 4
DFT (GGA-PBE) results for a geometry-optimized Ac4CoSbI2 structure.

Cell: 4.3917 8.3876 8.7330 Å, 105.66 90.00 90.00°
Closest atoms and distances in Å follow each position.
Positions (direct):
Ac 0.0000 0.6950 0.1826  2 Co 2.94
Ac 0.5000 0.2672 0.1991  1 Co 2.94, 2 Sb 3.28
Ac 0.0000 0.3050 0.8174  2 Co 2.94
Ac 0.5000 0.7328 0.8009  1 Co 2.94, 2 Sb 3.28
I 0.0000 0.5000 0.5000  6 Ac 3.57-3.58
I 0.5000 0.0000 0.5000  6 Ac 3.89-3.90
Co 0.5000 0.5000 0.0000  6 Ac 2.94
Sb 0.0000 0.0000 0.0000  6 Ac 3.28-3.36

Values from the calculation:
V	310	Å³ per cell
total magnetic moment	0.000	μB per formula unit
formation energy from raw total energies	-0.83	eV per atom

***

# 5
DFT (GGA-PBE) results for a geometry-optimized HfP2SN structure.

Cell: 5.0665 5.0665 4.8818 Å, 90.00 90.00 90.00°
Closest atoms and distances in Å follow each position.
Positions (direct):
N 0.5000 0.5000 0.5000  8 P 3.52, 4 S 3.58
Hf 0.0000 0.0000 0.0000  2 S 2.44, 4 P 2.53
P 0.5000 0.0000 0.0000  2 Hf 2.53
P 0.0000 0.5000 0.0000  2 Hf 2.53
S 0.0000 0.0000 0.5000  2 Hf 2.44

Values from the calculation:
V	125	Å³ per cell
distance to the lowest polymorph of the same formula	854.6	meV/atom
total magnetic moment	1.329	μB per formula unit
formation energy from raw total energies	1.16	eV per atom

***

# 6
DFT (GGA-PBE) results for a geometry-optimized ScCo3Pd structure.

Cell: 4.5415 4.5415 4.5415 Å, 90.00 90.00 90.00°
Closest atoms and distances in Å follow each position.
Positions (direct):
Co 0.5000 0.0000 0.0000  2 Pd 2.27
Co 0.0000 0.0000 0.5000  2 Pd 2.27
Co 0.0000 0.5000 0.0000  2 Pd 2.27
Pd 0.0000 0.0000 0.0000  6 Co 2.27
Sc 0.5000 0.5000 0.5000  12 Co 3.21

Values from the calculation:
energy relative to the elements	0.93	eV per atom
V	94	Å³ per cell
distance to the lowest polymorph of the same formula	0.0	meV/atom
total magnetic moment	5.383	μB per formula unit

***

# 7
DFT (GGA-PBE) results for a geometry-optimized Sr2In6GaAg structure.

Cell: 7.3520 7.3520 13.2906 Å, 73.94 73.94 60.00°
Closest atoms and distances in Å follow each position.
Positions (direct):
Sr 0.2830 0.2830 0.1509  12 In 3.57-3.74
Sr 0.8937 0.8937 0.3188  12 In 3.68-3.96, 1 Ag 4.01
Sr 0.1063 0.1063 0.6812  12 In 3.68-3.96, 1 Ag 4.01
Sr 0.7170 0.7170 0.8491  12 In 3.57-3.74
Ga 0.5728 0.5728 0.2817  1 Ag 2.75, 6 In 2.89-2.91
Ga 0.4272 0.4272 0.7183  1 Ag 2.75, 6 In 2.89-2.91
In 0.3367 0.9282 0.3985  1 Ag 2.82, 1 Ga 2.91, 2 In 3.00
In 0.6479 0.2268 0.8986  1 Ag 2.77, 1 Ga 2.89, 2 In 3.10
In 0.0718 0.6633 0.6015  1 Ag 2.82, 1 Ga 2.91, 2 In 3.00
In 0.7732 0.3521 0.1014  1 Ag 2.77, 1 Ga 2.89, 2 In 3.10
In 0.3521 0.7732 0.1014  1 Ag 2.77, 1 Ga 2.89, 2 In 3.10
In 0.9282 0.3367 0.3985  1 Ag 2.82, 1 Ga 2.91, 2 In 3.00
In 0.2268 0.2268 0.8986  1 Ag 2.77, 1 Ga 2.89, 2 In 3.10
In 0.6633 0.0718 0.6015  1 Ag 2.82, 1 Ga 2.91, 2 In 3.00
In 0.3367 0.3367 0.3985  1 Ag 2.82, 1 Ga 2.91, 2 In 3.00
In 0.6633 0.6633 0.6015  1 Ag 2.82, 1 Ga 2.91, 2 In 3.00
In 0.7732 0.7732 0.1014  1 Ag 2.77, 1 Ga 2.89, 2 In 3.10
In 0.2268 0.6479 0.8986  1 Ag 2.77, 1 Ga 2.89, 2 In 3.10
Ag 0.5000 0.5000 0.5000  2 Ga 2.75, 6 In 2.82
Ag 0.0000 0.0000 0.0000  6 In 2.77

Values from the calculation:
energy relative to the elements	-0.15	eV per atom
V	590	Å³ per cell
total magnetic moment	0.000	μB per formula unit

***

# 8
DFT (GGA-PBE) results for a geometry-optimized La3CeAg2 structure.

Cell: 3.7282 3.7282 12.5935 Å, 90.00 90.00 90.00°
Closest atoms and distances in Å follow each position.
Positions (direct):
Ag 0.5000 0.5000 0.8411  8 La 3.29-3.31
Ag 0.5000 0.5000 0.1589  8 La 3.29-3.31
La 0.0000 0.0000 0.3155  4 Ag 3.29, 4 Ce 3.51
La 0.0000 0.0000 0.0000  8 Ag 3.31
La 0.0000 0.0000 0.6845  4 Ag 3.29, 4 Ce 3.51
Ce 0.5000 0.5000 0.5000  8 La 3.51, 4 Ce 3.73

Values from the calculation:
energy relative to the elements	-0.13	eV per atom
V	175	Å³ per cell
total magnetic moment	0.172	μB per formula unit

***

# 9
DFT (GGA-PBE) results for a geometry-optimized Ho12Tl3Zn structure.

Cell: 4.8075 4.8075 19.1838 Å, 90.00 90.00 90.00°
Closest atoms and distances in Å follow each position.
Positions (direct):
Ho 0.5000 0.0000 0.6260  8 Ho 3.40-3.43, 4 Tl 3.41-3.42
Ho 0.5000 0.5000 0.0000  8 Ho 3.32, 4 Zn 3.40
Ho 0.5000 0.0000 0.1193  8 Ho 3.32-3.43, 2 Zn 3.32, 2 Tl 3.44
Ho 0.5000 0.0000 0.8807  8 Ho 3.32-3.43, 2 Zn 3.32, 2 Tl 3.44
Ho 0.5000 0.5000 0.5000  4 Tl 3.40, 8 Ho 3.41
Ho 0.0000 0.5000 0.1193  8 Ho 3.32-3.43, 2 Zn 3.32, 2 Tl 3.44
Ho 0.0000 0.5000 0.8807  8 Ho 3.32-3.43, 2 Zn 3.32, 2 Tl 3.44
Ho 0.5000 0.5000 0.7535  4 Tl 3.40, 8 Ho 3.43
Ho 0.5000 0.0000 0.3740  8 Ho 3.40-3.43, 4 Tl 3.41-3.42
Ho 0.0000 0.5000 0.3740  8 Ho 3.40-3.43, 4 Tl 3.41-3.42
Ho 0.5000 0.5000 0.2465  4 Tl 3.40, 8 Ho 3.43
Ho 0.0000 0.5000 0.6260  8 Ho 3.40-3.43, 4 Tl 3.41-3.42
Tl 0.0000 0.0000 0.7527  12 Ho 3.40-3.44
Tl 0.0000 0.0000 0.2473  12 Ho 3.40-3.44
Tl 0.0000 0.0000 0.5000  12 Ho 3.40-3.41
Zn 0.0000 0.0000 0.0000  12 Ho 3.32-3.40

Values from the calculation:
energy relative to the elements	-0.14	eV per atom
V	443	Å³ per cell
total magnetic moment	2.873	μB per formula unit

***

# 10
DFT (GGA-PBE) results for a geometry-optimized Pr4CuHg structure.

Cell: 6.8319 7.9983 7.2552 Å, 90.00 97.46 90.00°
Closest atoms and distances in Å follow each position.
Positions (direct):
Pr 0.1694 0.8333 0.6484  2 Cu 2.94-3.05, 1 Hg 3.22
Pr 0.9179 0.6503 0.1586  1 Cu 2.74
Pr 0.0821 0.3497 0.8414  1 Cu 2.74
Pr 0.6694 0.6667 0.6484  2 Cu 2.94-3.05, 1 Hg 3.22
Pr 0.8306 0.1667 0.3516  2 Cu 2.94-3.05, 1 Hg 3.22
Pr 0.3306 0.3333 0.3516  2 Cu 2.94-3.05, 1 Hg 3.22
Pr 0.4179 0.8497 0.1586  1 Cu 2.74
Pr 0.5821 0.1503 0.8414  1 Cu 2.74
Cu 0.5000 0.0000 0.5000  6 Pr 2.74-3.05
Cu 0.0000 0.5000 0.5000  6 Pr 2.74-3.05
Hg 0.0000 0.0000 0.0000  6 Pr 3.10-3.22
Hg 0.5000 0.5000 0.0000  6 Pr 3.10-3.22

Values from the calculation:
energy relative to the elements	-0.03	eV per atom
V	393	Å³ per cell
distance to the lowest polymorph of the same formula	145.3	meV/atom
total magnetic moment	0.000	μB per formula unit

***

Q: Which VASP energy values were calculated for the entries above? A: -28.576 -23.605 -16.026 -37.376 -27.446 -28.211 -54.343 -27.227 -65.499 -47.391, in eV/cell.
Q: Which D(E_F) values were calculated for the entries above? A: 3.6 4.6 4.4 4.4 3.5 6.5 5.3 9.9 21.3 7.5, in states/eV/f.u..